A plane-wave DFT calculation with meta-GGA SCAN was carried out for a PBEsol-optimized structure of LiCaTa2.

Structure (CIF):
```
data_LiCaTa2
_cell_length_a 2.917
_cell_length_b 5.000
_cell_length_c 6.128
_cell_angle_alpha 111.71
_cell_angle_beta 99.95
_cell_angle_gamma 99.21
_symmetry_space_group_name_H-M 'P 1'
_symmetry_Int_Tables_number 1
_symmetry_space_group_name_Hall 'P 1'
loop_
_atom_site_label
_atom_site_type_symbol
_atom_site_fract_x
_atom_site_fract_y
_atom_site_fract_z
Ca1 Ca 0.500 0.000 0.000
Li1 Li 0.000 0.500 0.000
Ta1 Ta 0.000 0.000 0.500
Ta2 Ta 0.500 0.500 0.500
```

The offset from the most stable computed form is 0 meV/atom. The density comes out at 8.56 g/cm3. The calculation puts the energy of formation at 0.619 eV/atom. As for the electronic total energy: -35.686 eV per atom. The total magnetization is 0.0 μB/f.u.

A plane-wave DFT calculation with meta-GGA SCAN was carried out for a PBEsol-optimized structure of Li2CaTc.

Structure (CIF):
```
data_Li2CaTc
_cell_length_a 4.145
_cell_length_b 4.145
_cell_length_c 4.177
_cell_angle_alpha 90.00
_cell_angle_beta 90.00
_cell_angle_gamma 90.00
_symmetry_space_group_name_H-M 'P 1'
_symmetry_Int_Tables_number 1
_symmetry_space_group_name_Hall 'P 1'
loop_
_atom_site_label
_atom_site_type_symbol
_atom_site_fract_x
_atom_site_fract_y
_atom_site_fract_z
Ca1 Ca 0.000 0.000 0.500
Li1 Li 0.000 0.500 0.000
Li2 Li 0.500 0.000 0.000
Tc1 Tc 0.500 0.500 0.500
```

The offset from the most stable computed form is 105 meV/atom. The density comes out at 3.52 g/cm3. The calculation puts the energy of formation at 0.643 eV/atom. As for the electronic total energy: -11.733 eV per atom. The total magnetization is 1.8 μB/f.u.

A plane-wave DFT calculation with meta-GGA SCAN was carried out for a PBEsol-optimized structure of Li2CaTc.

Structure (CIF):
```
data_Li2CaTc
_cell_length_a 4.688
_cell_length_b 4.688
_cell_length_c 4.688
_cell_angle_alpha 60.00
_cell_angle_beta 60.00
_cell_angle_gamma 60.00
_symmetry_space_group_name_H-M 'P 1'
_symmetry_Int_Tables_number 1
_symmetry_space_group_name_Hall 'P 1'
loop_
_atom_site_label
_atom_site_type_symbol
_atom_site_fract_x
_atom_site_fract_y
_atom_site_fract_z
Ca1 Ca 0.000 0.000 0.000
Li1 Li 0.250 0.250 0.250
Li2 Li 0.750 0.750 0.750
Tc1 Tc 0.500 0.500 0.500
```

The offset from the most stable computed form is 36 meV/atom. The density comes out at 3.46 g/cm3. The calculation puts the energy of formation at 0.574 eV/atom. As for the electronic total energy: -11.801 eV per atom. The total magnetization is 2.4 μB/f.u.

A plane-wave DFT calculation with meta-GGA SCAN was carried out for a PBEsol-optimized structure of Li3CaTc.

Structure (CIF):
```
data_Li3CaTc
_cell_length_a 4.315
_cell_length_b 4.315
_cell_length_c 4.315
_cell_angle_alpha 90.00
_cell_angle_beta 90.00
_cell_angle_gamma 90.00
_symmetry_space_group_name_H-M 'P 1'
_symmetry_Int_Tables_number 1
_symmetry_space_group_name_Hall 'P 1'
loop_
_atom_site_label
_atom_site_type_symbol
_atom_site_fract_x
_atom_site_fract_y
_atom_site_fract_z
Ca1 Ca 0.000 0.000 0.000
Tc1 Tc 0.500 0.500 0.500
Li1 Li 0.000 0.500 0.000
Li2 Li 0.000 0.000 0.500
Li3 Li 0.500 0.000 0.000
```

The density comes out at 3.28 g/cm3. The calculation puts the energy of formation at 1.469 eV/atom. As for the electronic total energy: -8.910 eV per atom. The total magnetization is 0.0 μB/f.u.